Record 1
First-principles (PBE) data for a geometry-optimized Ti3NbH3 structure, as listed in Alexandria.

Cell and atoms, written as CIF:
```
data_Ti3NbH3
_symmetry_space_group_name_H-M 'R -3'
_symmetry_Int_Tables_number 148
_symmetry_space_group_name_Hall '-R 3'
_cell_length_a 5.0838
_cell_length_b 5.0838
_cell_length_c 21.4449
_cell_angle_alpha 90.00
_cell_angle_beta 90.00
_cell_angle_gamma 120.00
loop_
_atom_site_label
_atom_site_type_symbol
_atom_site_fract_x
_atom_site_fract_y
_atom_site_fract_z
Ti1 Ti 0.9999 0.3365 0.1139
Nb1 Nb 0.0000 0.0000 0.3333
H1 H 0.0006 0.3475 0.9428
```

- Calculated volume: 11.4 Å³/atom



Record 2
First-principles (PBE) data for a geometry-optimized InSbIr structure, as listed in Alexandria.

Cell and atoms, written as CIF:
```
data_InSbIr
_symmetry_space_group_name_H-M 'P 3 m 1'
_symmetry_Int_Tables_number 156
_symmetry_space_group_name_Hall 'P 3 -2"'
_cell_length_a 3.6380
_cell_length_b 3.6380
_cell_length_c 6.0763
_cell_angle_alpha 90.00
_cell_angle_beta 90.00
_cell_angle_gamma 120.00
loop_
_atom_site_label
_atom_site_type_symbol
_atom_site_fract_x
_atom_site_fract_y
_atom_site_fract_z
In1 In 0.0000 0.0000 0.0000
Sb1 Sb 0.3333 0.6667 0.5592
Ir1 Ir 0.6667 0.3333 0.3036
```

- Calculated volume: 23.2 Å³/atom
- Raw formation energy: 0.016 eV/atom



Sequential DFT total energy output: -6.39 -5.23 eV per atom